# 1
4
Lattice="-1.9231 -1.4349 1.3352 -0.0575 -2.7372 -3.0243 3.9412 -2.9052 2.5544" Properties=species:S:1:pos:R:3 comment="PBE Re2RhAu, optimized geometry" formation_enthalpy_0k_ev_per_atom=0.298 e_above_lowest_polymorph_kj_per_mol_atoms=17.0 spacegroup=Pmmm pbc="T T T"
Rh -0.9903 -2.0860 -0.8445
Re 0.8839 -0.6516 0.5729
Au 0.9803 -3.5386 0.4327
Re 3.0573 -2.2536 1.9815

# 2
4
Lattice="0.0000 3.1814 3.1814 3.1814 0.0000 3.1814 3.1814 3.1814 0.0000" Properties=species:S:1:pos:R:3 comment="PBE ReRhAu2, optimized geometry" formation_enthalpy_0k_ev_per_atom=0.562 e_above_lowest_polymorph_kj_per_mol_atoms=43.9 spacegroup=Fm-3m pbc="T T T"
Au 4.7721 4.7721 4.7721
Re 3.1814 3.1814 3.1814
Au 1.5907 1.5907 1.5907
Rh 0.0000 0.0000 0.0000

# 3
4
Lattice="3.8540 0.0000 0.0000 0.0000 3.8540 0.0000 0.0000 0.0000 4.1097" Properties=species:S:1:pos:R:3 comment="PBE Re2RhAu, optimized geometry" formation_enthalpy_0k_ev_per_atom=0.351 e_above_lowest_polymorph_kj_per_mol_atoms=22.2 spacegroup=P4/mmm pbc="T T T"
Rh 1.9270 1.9270 2.0548
Au 0.0000 0.0000 2.0548
Re 0.0000 1.9270 0.0000
Re 1.9270 0.0000 0.0000

# 4
4
Lattice="2.7237 0.0000 0.0000 0.0000 2.7237 0.0000 0.0000 0.0000 8.2541" Properties=species:S:1:pos:R:3 comment="PBE Re2RhAu, optimized geometry" formation_enthalpy_0k_ev_per_atom=0.292 e_above_lowest_polymorph_kj_per_mol_atoms=16.5 spacegroup=P4/mmm pbc="T T T"
Au 1.3619 1.3619 4.1270
Re 0.0000 0.0000 6.2913
Re 0.0000 0.0000 1.9627
Rh 1.3619 1.3619 0.0000

# 5
4
Lattice="1.3074 -3.1283 3.5098 3.6401 -2.4312 2.1571 1.0872 3.0923 3.4688" Properties=species:S:1:pos:R:3 comment="PBE Re2RhAu, optimized geometry" formation_enthalpy_0k_ev_per_atom=0.257 e_above_lowest_polymorph_kj_per_mol_atoms=13.1 spacegroup=C2/m pbc="T T T"
Rh 2.4738 -2.7798 2.8334
Au 0.5436 1.5462 1.7344
Re 3.9983 -3.4631 5.1104
Re 2.0365 0.9959 4.0252

# 6
6
Lattice="0.4274 -4.5954 2.7212 -3.4474 -3.9945 -0.9300 1.6581 -4.4442 -2.4911" Properties=species:S:1:pos:R:3 comment="PBE ReRhAu4, optimized geometry" formation_enthalpy_0k_ev_per_atom=0.834 spacegroup=F-43m pbc="T T T"
Au -2.2345 -6.8851 -0.7274
Au 0.3184 -7.1099 -1.5081
Au -0.5107 -4.8877 -0.2624
Rh 0.0000 0.0000 0.0000
Au -0.2970 -7.1856 1.0983
Re -1.0214 -9.7756 -0.5249

no.,calculated density (g/cm3)
1,18.05
2,17.61
3,18.29
4,18.23
5,18.24
6,16.44